[1]
VASP calculation (PBE) on a relaxed structure of TcSb2Rh.

Calculated values
ΔE_f (raw) (kJ/mol of formula units): 200

```
data_TcSb2Rh
_space_group_name_H-M_alt 'F -4 3 m'
_space_group_IT_number 216
_space_group_name_Hall 'F -4 2 3'
_cell_length_a 6.7098
_cell_length_b 6.7098
_cell_length_c 6.7098
_cell_angle_alpha 90.00
_cell_angle_beta 90.00
_cell_angle_gamma 90.00
loop_
_atom_site_label
_atom_site_fract_x
_atom_site_fract_y
_atom_site_fract_z
Tc1 0.0000 0.0000 0.0000
Sb1 0.0000 0.0000 0.5000
Sb2 0.2500 0.2500 0.7500
Rh1 0.2500 0.2500 0.2500
```

=====

[2]
VASP calculation (PBE) on a relaxed structure of KTlAgCl4.

Calculated values
ΔE_f (raw) (kJ/mol of formula units): -678

```
data_KTlAgCl4
_space_group_name_H-M_alt 'C m c m'
_space_group_IT_number 63
_space_group_name_Hall '-C 2c 2'
_cell_length_a 7.1951
_cell_length_b 15.8848
_cell_length_c 7.2296
_cell_angle_alpha 90.00
_cell_angle_beta 90.00
_cell_angle_gamma 90.00
loop_
_atom_site_label
_atom_site_fract_x
_atom_site_fract_y
_atom_site_fract_z
K1 0.0000 0.1122 0.2500
Tl1 0.0000 0.3939 0.2500
Ag1 0.0000 0.2489 0.7500
Cl1 0.0000 0.0845 0.7500
Cl2 0.0000 0.4140 0.7500
Cl3 0.2500 0.2500 0.0000
```

=====

[3]
VASP calculation (PBE) on a relaxed structure of B7C3.

Calculated values
Energy relative to the elements (meV per atom): 401

```
data_B7C3
_space_group_name_H-M_alt 'C 1 m 1'
_space_group_IT_number 8
_cell_length_a 4.7000
_cell_length_b 2.6460
_cell_length_c 14.8060
_cell_angle_alpha 90.00
_cell_angle_beta 95.15
_cell_angle_gamma 90.00
loop_
_space_group_symop_operation_xyz
'x,y,z'
'x,-y,z'
'x+1/2,y+1/2,z'
'x+1/2,-y+1/2,z'
loop_
_atom_site_label
_atom_site_fract_x
_atom_site_fract_y
_atom_site_fract_z
B1 0.0000 0.0000 0.0000
B2 0.0202 0.5000 0.5147
B3 0.0670 0.5000 0.7000
B4 0.1050 0.5000 0.8137
B5 0.2473 0.5000 0.2518
B6 0.2910 0.0000 0.8828
B7 0.3815 0.5000 0.6308
C1 0.0725 0.0000 0.2517
C2 0.3235 0.0000 0.9903
C3 0.3496 0.5000 0.5239
```

=====

[4]
VASP calculation (PBE) on a relaxed structure of ZrNpTeN2.

Calculated values
ΔE_f (raw) (kJ/mol of formula units): -606

```
data_ZrNpTeN2
_space_group_name_H-M_alt 'P 1 21/m 1'
_space_group_IT_number 11
_cell_length_a 6.7376
_cell_length_b 3.9883
_cell_length_c 7.5753
_cell_angle_alpha 90.00
_cell_angle_beta 107.43
_cell_angle_gamma 90.00
loop_
_space_group_symop_operation_xyz
'x,y,z'
'-x,-y,-z'
'-x,y+1/2,-z'
'x,-y+1/2,z'
loop_
_atom_site_label
_atom_site_fract_x
_atom_site_fract_y
_atom_site_fract_z
Zr1 0.1415 0.2500 0.4085
Np1 0.1747 0.2500 0.9252
Te1 0.4542 0.7500 0.2640
N1 0.9996 0.2500 0.6257
N2 0.0258 0.7500 0.8854
```

=====

[5]
VASP calculation (PBE) on a relaxed structure of TlCrW2.

Calculated values
Energy relative to the elements (meV per atom): 930

```
data_TlCrW2
_space_group_name_H-M_alt 'C m m m'
_space_group_IT_number 65
_space_group_name_Hall '-C 2 2'
_cell_length_a 5.4994
_cell_length_b 8.7697
_cell_length_c 2.8230
_cell_angle_alpha 90.00
_cell_angle_beta 90.00
_cell_angle_gamma 90.00
loop_
_atom_site_label
_atom_site_fract_x
_atom_site_fract_y
_atom_site_fract_z
Tl1 0.0000 0.0000 0.0000
Cr1 0.0000 0.5000 0.0000
W1 0.2500 0.2500 0.5000
```

=====

[6]
VASP calculation (PBE) on a relaxed structure of Cs2Rb3I4.

Calculated values
ΔE_f (raw) (kJ/mol of formula units): -1158

```
data_Cs2Rb3I4
_space_group_name_H-M_alt 'C 1 2/m 1'
_space_group_IT_number 12
_cell_length_a 9.2746
_cell_length_b 5.3543
_cell_length_c 22.3640
_cell_angle_alpha 90.00
_cell_angle_beta 90.06
_cell_angle_gamma 90.00
loop_
_space_group_symop_operation_xyz
'x,y,z'
'-x,-y,-z'
'-x,y,-z'
'x,-y,z'
'x+1/2,y+1/2,z'
'-x+1/2,-y+1/2,-z'
'-x+1/2,y+1/2,-z'
'x+1/2,-y+1/2,z'
loop_
_atom_site_label
_atom_site_fract_x
_atom_site_fract_y
_atom_site_fract_z
Cs1 0.1671 0.0000 0.2002
Rb1 0.0000 0.5000 0.0000
Rb2 0.1657 0.0000 0.5970
I1 0.0008 0.5000 0.3062
I2 0.1664 0.0000 0.9050
```

=====

[7]
VASP calculation (PBE) on a relaxed structure of BaInBr.

Calculated values
ΔE_f (raw) (kJ/mol of formula units): -154

```
data_BaInBr
_space_group_name_H-M_alt 'F -4 3 m'
_space_group_IT_number 216
_space_group_name_Hall 'F -4 2 3'
_cell_length_a 8.1430
_cell_length_b 8.1430
_cell_length_c 8.1430
_cell_angle_alpha 90.00
_cell_angle_beta 90.00
_cell_angle_gamma 90.00
loop_
_atom_site_label
_atom_site_fract_x
_atom_site_fract_y
_atom_site_fract_z
Ba1 0.0000 0.0000 0.0000
In1 0.2500 0.2500 0.7500
Br1 0.2500 0.2500 0.2500
```

=====

[8]
VASP calculation (PBE) on a relaxed structure of Y8Mg4Cu.

Calculated values
Energy relative to the elements (meV per atom): 438

```
data_Y8Mg4Cu
_space_group_name_H-M_alt 'I 4/m'
_space_group_IT_number 87
_space_group_name_Hall '-I 4'
_cell_length_a 16.0559
_cell_length_b 16.0559
_cell_length_c 3.4981
_cell_angle_alpha 90.00
_cell_angle_beta 90.00
_cell_angle_gamma 90.00
loop_
_atom_site_label
_atom_site_fract_x
_atom_site_fract_y
_atom_site_fract_z
Y1 0.0452 0.3848 0.0000
Y2 0.1581 0.2535 0.5000
Mg1 0.0729 0.7454 0.5000
Cu1 0.0000 0.0000 0.0000
```

=====

[9]
VASP calculation (PBE) on a relaxed structure of MnHN3.

Calculated values
Electronic total energy (eV per atom): -5.846

```
data_MnHN3
_space_group_name_H-M_alt 'P m -3 m'
_space_group_IT_number 221
_space_group_name_Hall '-P 4 2 3'
_cell_length_a 3.6002
_cell_length_b 3.6002
_cell_length_c 3.6002
_cell_angle_alpha 90.00
_cell_angle_beta 90.00
_cell_angle_gamma 90.00
loop_
_atom_site_label
_atom_site_fract_x
_atom_site_fract_y
_atom_site_fract_z
Mn1 0.0000 0.0000 0.0000
H1 0.5000 0.5000 0.5000
N1 0.0000 0.0000 0.5000
```

=====

[10]
VASP calculation (PBE) on a relaxed structure of TlZn2AsCl.

Calculated values
ΔE_f (raw) (kJ/mol of formula units): -40

```
data_TlZn2AsCl
_space_group_name_H-M_alt 'P 4/m m m'
_space_group_IT_number 123
_space_group_name_Hall '-P 4 2'
_cell_length_a 4.7533
_cell_length_b 4.7533
_cell_length_c 6.9673
_cell_angle_alpha 90.00
_cell_angle_beta 90.00
_cell_angle_gamma 90.00
loop_
_atom_site_label
_atom_site_fract_x
_atom_site_fract_y
_atom_site_fract_z
Tl1 0.0000 0.0000 0.0000
Zn1 0.0000 0.5000 0.5000
As1 0.0000 0.0000 0.5000
Cl1 0.5000 0.5000 0.0000
```

=====

[11]
VASP calculation (PBE) on a relaxed structure of CeMg6Sb.

Calculated values
ΔE_f (raw) (kJ/mol of formula units): -77

```
data_CeMg6Sb
_space_group_name_H-M_alt 'A m m 2'
_space_group_IT_number 38
_cell_length_a 5.2661
_cell_length_b 6.2967
_cell_length_c 11.9177
_cell_angle_alpha 90.00
_cell_angle_beta 90.00
_cell_angle_gamma 90.00
loop_
_space_group_symop_operation_xyz
'x,y,z'
'-x,-y,z'
'-x,y,z'
'x,-y,z'
'x,y+1/2,z+1/2'
'-x,-y+1/2,z+1/2'
'-x,y+1/2,z+1/2'
'x,-y+1/2,z+1/2'
loop_
_atom_site_label
_atom_site_fract_x
_atom_site_fract_y
_atom_site_fract_z
Ce1 0.0000 0.0000 0.0000
Mg1 0.0000 0.2497 0.2468
Mg2 0.5000 0.0000 0.1629
Mg3 0.5000 0.0000 0.6464
Mg4 0.5000 0.2459 0.8941
Sb1 0.0000 0.0000 0.4909
```

=====

[12]
VASP calculation (PBE) on a relaxed structure of HfBeTl2C.

Calculated values
Energy relative to the elements (meV per atom): 2257

```
data_HfBeTl2C
_space_group_name_H-M_alt 'P 4/m m m'
_space_group_IT_number 123
_space_group_name_Hall '-P 4 2'
_cell_length_a 5.7100
_cell_length_b 5.7100
_cell_length_c 4.8036
_cell_angle_alpha 90.00
_cell_angle_beta 90.00
_cell_angle_gamma 90.00
loop_
_atom_site_label
_atom_site_fract_x
_atom_site_fract_y
_atom_site_fract_z
Hf1 0.0000 0.0000 0.0000
Be1 0.0000 0.0000 0.5000
Tl1 0.0000 0.5000 0.0000
C1 0.5000 0.5000 0.5000
```

=====

no.,size of the total moment (μB per formula unit)
1,0.0
2,0.0
3,0.2
4,3.0
5,2.4
6,0.0
7,1.8
8,0.0
9,0.8
10,0.0
11,0.8
12,0.3